[1]
# HoEr6Rh2 (PBE-GGA, relaxed)
# - total magnetic moment (μB/cell) = 0.00
# - calculated density (kg/m3) = 9515
# - E_form (eV per atom) = -0.427
# - final energy (eV/cell) = -100.99
data_HoEr6Rh2
_space_group_name_H-M_alt 'C 1 2/m 1'
_space_group_IT_number 12
_cell_length_a 15.786
_cell_length_b 3.709
_cell_length_c 10.729
_cell_angle_alpha 90.00
_cell_angle_beta 130.21
_cell_angle_gamma 90.00
loop_
_space_group_symop_operation_xyz
'x,y,z'
'-x,-y,-z'
'-x,y,-z'
'x,-y,z'
'x+1/2,y+1/2,z'
'-x+1/2,-y+1/2,-z'
'-x+1/2,y+1/2,-z'
'x+1/2,-y+1/2,z'
loop_
_atom_site_label
_atom_site_type_symbol
_atom_site_fract_x
_atom_site_fract_y
_atom_site_fract_z
Ho1 Ho 0.000 0.000 0.000
Er1 Er 0.020 0.000 0.689
Er2 Er 0.194 0.500 0.053
Er3 Er 0.226 0.500 0.616
Rh1 Rh 0.098 0.500 0.270

[2]
# Ce3Pm2TmBi6 (PBE-GGA, relaxed)
# - total magnetic moment (μB/cell) = 5.17
# - calculated density (kg/m3) = 8762
# - E_form (eV per atom) = -0.839
# - final energy (eV/cell) = -130.27
data_Ce3Pm2TmBi6
_space_group_name_H-M_alt 'C 1 2/m 1'
_space_group_IT_number 12
_cell_length_a 7.911
_cell_length_b 13.706
_cell_length_c 7.910
_cell_angle_alpha 90.00
_cell_angle_beta 109.51
_cell_angle_gamma 90.00
loop_
_space_group_symop_operation_xyz
'x,y,z'
'-x,-y,-z'
'-x,y,-z'
'x,-y,z'
'x+1/2,y+1/2,z'
'-x+1/2,-y+1/2,-z'
'-x+1/2,y+1/2,-z'
'x+1/2,-y+1/2,z'
loop_
_atom_site_label
_atom_site_type_symbol
_atom_site_fract_x
_atom_site_fract_y
_atom_site_fract_z
Ce1 Ce 0.000 0.000 0.000
Ce2 Ce 0.000 0.331 0.000
Pm1 Pm 0.000 0.166 0.500
Tm1 Tm 0.000 0.500 0.500
Bi1 Bi 0.244 0.500 0.251
Bi2 Bi 0.245 0.336 0.746

[3]
# KPd3Pt (PBE-GGA, relaxed)
# - total magnetic moment (μB/cell) = 0.00
# - calculated density (kg/m3) = 8314
# - E_form (eV per atom) = 1.682
# - final energy (eV/cell) = -14.31
data_KPd3Pt
_space_group_name_H-M_alt 'P m -3 m'
_space_group_IT_number 221
_space_group_name_Hall '-P 4 2 3'
_cell_length_a 4.799
_cell_length_b 4.799
_cell_length_c 4.799
_cell_angle_alpha 90.00
_cell_angle_beta 90.00
_cell_angle_gamma 90.00
loop_
_atom_site_label
_atom_site_type_symbol
_atom_site_fract_x
_atom_site_fract_y
_atom_site_fract_z
K1 K 0.000 0.000 0.000
Pd1 Pd 0.000 0.000 0.500
Pt1 Pt 0.500 0.500 0.500